# MnInO3

Crystalline MnInO3 at its relaxed geometry (GGA+U, Alexandria via LeMat-Bulk).

Cell: 4.0712 4.0712 4.0712 Å, 90.00 90.00 90.00°
Space group Pm-3m (No. 221)
Inequivalent atoms, fractional coordinates:
Mn 0.0000 0.0000 0.0000 x1
In 0.5000 0.5000 0.5000 x1
O 0.0000 0.5000 0.5000 x3

Values from the calculation:
* total magnetic moment: 4.5 μB/cell
* total DFT energy (no corrections): -5.678 eV/atom
* D(E_F): 0.694 states/eV per atom